VSO4: PBEsol geometry, meta-GGA SCAN.

Properties
Total DFT energy (no corrections) (eV per atom): -10.569
Calculated volume (Å³ per cell): 276.8
N(E_F) (states/eV/cell): 0.00

Cell lengths 8.7361, 6.6237, 4.7831 Å; angles 90.00, 90.00, 90.00 degrees
Closest atoms and distances in Å follow each position.
Space group Pnma (No. 62)
Unique sites:
V1 0.0000 0.0000 0.0000 (multiplicity 4)  6 O 2.06-2.21
S1 0.1771 0.2500 0.4883 (multiplicity 4)  4 O 1.46-1.51
O1 0.1213 0.2500 0.7877 (multiplicity 4)  1 S 1.51
O2 0.1258 0.0639 0.3529 (multiplicity 8)  1 S 1.46
O3 0.1497 0.7500 0.9772 (multiplicity 4)  1 S 1.51

---

WS2O: PBEsol geometry, meta-GGA SCAN.

Properties
Total DFT energy (no corrections) (eV per atom): -22.771
Calculated volume (Å³ per cell): 174.5
N(E_F) (states/eV/cell): 6.80

Cell lengths 3.0233, 3.0233, 22.0503 Å; angles 90.00, 90.00, 120.00 degrees
Closest atoms and distances in Å follow each position.
Space group R-3m (No. 166, hexagonal axes)
Unique sites:
W1 0.0000 0.0000 0.0000 (multiplicity 3)  2 S 2.21
S1 0.0000 0.0000 0.1001 (multiplicity 6)  1 W 2.21, 3 O 2.28
O1 0.0000 0.0000 0.5000 (multiplicity 3)  6 S 2.28

---

Y2S2O: PBEsol geometry, meta-GGA SCAN.

Properties
Total DFT energy (no corrections) (eV per atom): -19.214
Calculated volume (Å³ per cell): 373.8
N(E_F) (states/eV/cell): 0.00

Cell lengths 8.1713, 6.8353, 6.7897 Å; angles 90.00, 99.66, 90.00 degrees
Closest atoms and distances in Å follow each position.
Space group P2_1/c (No. 14)
Unique sites:
Y1 0.0757 0.1441 0.3206 (multiplicity 4)  3 O 2.23-2.26
Y2 0.3627 0.5544 0.2501 (multiplicity 4)  1 O 2.23
S1 0.1814 0.6331 0.5743 (multiplicity 4)  4 Y 2.75-2.90
S2 0.4233 0.2226 0.4700 (multiplicity 4)  5 Y 2.71-2.90
O1 0.1167 0.0873 0.6497 (multiplicity 4)  4 Y 2.23-2.26

---

Sb2O3: PBEsol geometry, meta-GGA SCAN.

Properties
Total DFT energy (no corrections) (eV per atom): -19.990
Calculated volume (Å³ per cell): 613.6
N(E_F) (states/eV/cell): 0.00

Cell lengths 7.3573, 7.3950, 11.2785 Å; angles 90.00, 90.00, 90.00 degrees
Closest atoms and distances in Å follow each position.
Space group P2_12_12_1 (No. 19)
Unique sites:
Sb1 0.0120 0.0144 0.2465 (multiplicity 4)  3 O 2.01-2.11
Sb2 0.0189 0.4401 0.7352 (multiplicity 4)  3 O 2.00-2.07
Sb3 0.2308 0.7637 0.4961 (multiplicity 4)  3 O 2.00-2.09
Sb4 0.2401 0.7359 0.0031 (multiplicity 4)  3 O 2.00-2.08
O1 0.0156 0.6667 0.1054 (multiplicity 4)  2 Sb 2.03-2.08
O2 0.0450 0.3149 0.8939 (multiplicity 4)  2 Sb 2.02-2.09
O3 0.0720 0.7886 0.3532 (multiplicity 4)  2 Sb 2.00-2.11
O4 0.1168 0.2129 0.6499 (multiplicity 4)  2 Sb 2.00-2.07
O5 0.1431 0.5086 0.5110 (multiplicity 4)  2 Sb 2.00
O6 0.2463 0.4268 0.2565 (multiplicity 4)  2 Sb 2.00-2.01

---

Sb2O3: PBEsol geometry, meta-GGA SCAN.

Properties
Total DFT energy (no corrections) (eV per atom): -20.013
Calculated volume (Å³ per cell): 341.6
N(E_F) (states/eV/cell): 0.00

Cell lengths 8.0935, 4.6869, 10.4726 Å; angles 90.00, 120.71, 90.00 degrees
Closest atoms and distances in Å follow each position.
Space group P2_1/c (No. 14)
Unique sites:
Sb1 0.0975 0.1809 0.4055 (multiplicity 4)  3 O 1.97-2.10
Sb2 0.3948 0.6520 0.3075 (multiplicity 4)  3 O 1.99-2.05
O1 0.1071 0.6722 0.8068 (multiplicity 4)  2 Sb 1.97-2.10
O2 0.1543 0.6060 0.1017 (multiplicity 4)  2 Sb 2.03-2.05
O3 0.4458 0.0609 0.2880 (multiplicity 4)  2 Sb 1.99-2.04

---

Sb2O3: PBEsol geometry, meta-GGA SCAN.

Properties
Total DFT energy (no corrections) (eV per atom): -20.026
Calculated volume (Å³ per cell): 1331.6
N(E_F) (states/eV/cell): 0.00

Cell lengths 11.0017, 11.0017, 11.0017 Å; angles 90.00, 90.00, 90.00 degrees
Closest atoms and distances in Å follow each position.
Space group Fd-3m (No. 227, origin choice 2)
Unique sites:
Sb1 0.0071 0.0071 0.2429 (multiplicity 32)  3 O 2.01
O1 0.0666 0.3750 0.3750 (multiplicity 48)  2 Sb 2.01